# 1
Material: Pm2InBPd6
Method: DFT, PBE
State: optimized geometry

Output
- energy of formation (eV per formula unit) = -6.495
- space-group type = Pmmn

a = 5.793 Å, b = 7.579 Å, c = 8.783 Å
α = 90.00°, β = 90.00°, γ = 90.00°
Fractional positions:
1 Pd 0.259 0.377 0.500
2 Pd 0.500 0.140 0.261
3 Pd 0.241 0.623 0.000
4 Pd 0.262 0.018 0.000
5 Pd 0.238 0.982 0.500
6 Pd 0.741 0.377 0.500
7 Pd 0.759 0.623 0.000
8 Pd 0.738 0.018 0.000
9 Pd 0.500 0.140 0.739
10 Pd 0.762 0.982 0.500
11 Pd 0.000 0.860 0.761
12 Pd 0.000 0.860 0.239
13 Pm 0.500 0.724 0.278
14 Pm 0.500 0.724 0.722
15 Pm 0.000 0.276 0.222
16 Pm 0.000 0.276 0.778
17 B 0.000 0.828 0.000
18 B 0.500 0.172 0.500
19 In 0.500 0.336 0.000
20 In 0.000 0.664 0.500

# 2
Material: Pr2InBPd6
Method: DFT, PBE
State: optimized geometry

Output
- energy of formation (eV per formula unit) = -6.428
- space-group type = Pmmn

a = 5.847 Å, b = 7.574 Å, c = 8.825 Å
α = 90.00°, β = 90.00°, γ = 90.00°
Fractional positions:
1 Pr 0.000 0.279 0.221
2 Pr 0.000 0.279 0.779
3 Pr 0.500 0.721 0.279
4 Pr 0.500 0.721 0.721
5 Pd 0.764 0.984 0.500
6 Pd 0.762 0.622 0.000
7 Pd 0.238 0.622 0.000
8 Pd 0.000 0.860 0.238
9 Pd 0.738 0.378 0.500
10 Pd 0.236 0.984 0.500
11 Pd 0.264 0.016 0.000
12 Pd 0.736 0.016 0.000
13 Pd 0.500 0.140 0.262
14 Pd 0.000 0.860 0.762
15 Pd 0.262 0.378 0.500
16 Pd 0.500 0.140 0.738
17 In 0.500 0.335 0.000
18 In 0.000 0.665 0.500
19 B 0.500 0.171 0.500
20 B 0.000 0.829 0.000

# 3
Material: In2BPd2Pt4
Method: DFT, PBE
State: optimized geometry

Output
- energy of formation (eV per formula unit) = -4.280
- space-group type = I4/mmm

a = 5.888 Å, b = 5.888 Å, c = 5.888 Å
α = 88.21°, β = 121.04°, γ = 121.04°
Fractional positions:
1 Pt 0.000 0.256 0.744
2 Pt 0.489 0.744 0.744
3 Pt 0.511 0.256 0.256
4 Pt 0.000 0.744 0.256
5 Pd 0.000 0.745 0.745
6 Pd 0.000 0.255 0.255
7 In 0.500 0.250 0.750
8 In 0.500 0.750 0.250
9 B 0.000 0.000 0.000

# 4
Material: In2BPd3Pt3
Method: DFT, PBE
State: optimized geometry

Output
- energy of formation (eV per formula unit) = -3.069
- space-group type = P-62m

a = 3.086 Å, b = 7.268 Å, c = 7.268 Å
α = 120.00°, β = 90.00°, γ = 90.00°
Fractional positions:
1 Pd 0.000 0.389 0.000
2 Pd 0.000 0.611 0.611
3 Pd 0.000 0.000 0.389
4 Pt 0.500 0.000 0.774
5 Pt 0.500 0.774 0.000
6 Pt 0.500 0.226 0.226
7 B 0.000 0.000 0.000
8 In 0.500 0.333 0.667
9 In 0.500 0.667 0.333

# 5
Material: InBPd2Rh
Method: DFT, PBE
State: optimized geometry

Output
- energy of formation (eV per formula unit) = -1.847
- space-group type = P4/mmm

a = 4.235 Å, b = 4.235 Å, c = 4.138 Å
α = 90.00°, β = 90.00°, γ = 90.00°
Fractional positions:
1 Pd 0.000 0.500 0.000
2 Pd 0.500 0.000 0.000
3 Rh 0.000 0.000 0.500
4 In 0.500 0.500 0.500
5 B 0.000 0.000 0.000

# 6
Material: InBPdRh2
Method: DFT, PBE
State: optimized geometry

Output
- energy of formation (eV per formula unit) = -2.043
- space-group type = P4/mmm

a = 4.158 Å, b = 4.158 Å, c = 4.197 Å
α = 90.00°, β = 90.00°, γ = 90.00°
Fractional positions:
1 In 0.500 0.500 0.500
2 Rh 0.500 0.000 0.000
3 Rh 0.000 0.500 0.000
4 Pd 0.000 0.000 0.500
5 B 0.000 0.000 0.000

Question: Among the records above, which one has the highest energy of formation?
Answer: InBPd2Rh